# 1
VASP calculation (PBE-GGA) on CsZnCrSe3 after structural relaxation.

a b c (Å): 3.950 9.127 10.223
angles (deg): 114.91 90.00 90.00
Site moments in Bohr magnetons follow the coordinates.
Element x y z (fractional)
1 Se 0.250 0.518 0.868  -0.16
2 Se 0.250 0.778 0.437  -0.01
3 Cs 0.750 0.771 0.751  0.00
4 Cs 0.250 0.229 0.249  0.00
5 Cr 0.250 0.665 0.137  3.06
6 Zn 0.750 0.916 0.389  0.01
7 Se 0.750 0.482 0.132  -0.16
8 Zn 0.250 0.084 0.611  0.01
9 Se 0.750 0.857 0.136  -0.06
10 Se 0.250 0.143 0.864  -0.06
11 Se 0.750 0.222 0.563  -0.01
12 Cr 0.750 0.335 0.863  3.06

Properties
For the formation energy from raw total energies, the calculation gives -0.78 eV/atom. The symmetry is P2_1/m, No. 11.


# 2
VASP calculation (PBE-GGA) on Cs2CrSi after structural relaxation.

a b c (Å): 10.238 10.238 10.238
angles (deg): 93.16 93.16 152.82
Site moments in Bohr magnetons follow the coordinates.
Element x y z (fractional)
1 Cs 0.625 0.875 0.750  0.02
2 Cr 0.250 0.750 0.500  3.68
3 Si 0.500 0.500 0.000  -0.16
4 Cs 0.125 0.875 0.250  0.02
5 Cs 0.125 0.875 0.750  0.02
6 Si 0.750 0.250 0.500  -0.16
7 Cs 0.125 0.375 0.250  0.02
8 Cr 0.000 0.000 0.000  3.68

Properties
For the formation energy from raw total energies, the calculation gives 0.52 eV/atom. The symmetry is I4_1/amd, No. 141.


> Among the records above, which one has the highest formation energy from raw total energies?

Cs2CrSi